# FeIrRuO6 (GGA+U, relaxed)
data_FeIrRuO6
_symmetry_space_group_name_H-M 'P -3 1 c'
_symmetry_Int_Tables_number 163
_symmetry_space_group_name_Hall '-P 3 2c'
_cell_length_a 4.9894
_cell_length_b 4.9894
_cell_length_c 8.5112
_cell_angle_alpha 90.00
_cell_angle_beta 90.00
_cell_angle_gamma 120.00
loop_
_atom_site_label
_atom_site_type_symbol
_atom_site_fract_x
_atom_site_fract_y
_atom_site_fract_z
Fe1 Fe 0.3333 0.6667 0.2500
Ir1 Ir 0.3333 0.6667 0.7500
Ru1 Ru 0.0000 0.0000 0.0000
O1 O 0.0061 0.3387 0.1261
# Total energy = -121.05 eV per cell
# Size of the total moment = 2.17 μB per cell
# Calculated density = 8.057 Mg/m³